No. 1
Mg5Zn4 at its PBEsol-relaxed geometry. Source: the Alexandria database, functional SCAN.

Summary:
E = -8.81 eV per atom
Excess energy over the best structure of this formula in the dataset = 41.2 meV/atom
V = 322.00 Å³ per cell

CIF file:
```
data_Mg5Zn4
_chemical_formula_sum 'Mg10 Zn8'
_symmetry_space_group_name_H-M 'I 4/m m m'
_symmetry_Int_Tables_number 139
_symmetry_space_group_name_Hall '-I 4 2'
_cell_length_a 8.7110
_cell_length_b 8.7110
_cell_length_c 4.2434
_cell_angle_alpha 90.00
_cell_angle_beta 90.00
_cell_angle_gamma 90.00
loop_
_atom_site_label
_atom_site_fract_x
_atom_site_fract_y
_atom_site_fract_z
Mg1 0.0000 0.0000 0.0000
Mg2 0.1722 0.1722 0.5000
Zn1 0.0000 0.3464 0.0000
```

No. 2
K3HfBr at its PBEsol-relaxed geometry. Source: the Alexandria database, functional SCAN.

Summary:
E = -21.14 eV per atom
V = 232.57 Å³ per cell

CIF file:
```
data_K3HfBr
_chemical_formula_sum 'K3 Hf1 Br1'
_symmetry_space_group_name_H-M 'P m -3 m'
_symmetry_Int_Tables_number 221
_symmetry_space_group_name_Hall '-P 4 2 3'
_cell_length_a 6.1497
_cell_length_b 6.1497
_cell_length_c 6.1497
_cell_angle_alpha 90.00
_cell_angle_beta 90.00
_cell_angle_gamma 90.00
loop_
_atom_site_label
_atom_site_fract_x
_atom_site_fract_y
_atom_site_fract_z
K1 0.0000 0.0000 0.5000
Hf1 0.5000 0.5000 0.5000
Br1 0.0000 0.0000 0.0000
```

No. 3
Na2SrCoW at its PBEsol-relaxed geometry. Source: the Alexandria database, functional SCAN.

Summary:
E = -21.25 eV per atom
V = 128.00 Å³ per cell

CIF file:
```
data_Na2SrCoW
_chemical_formula_sum 'Na2 Sr1 Co1 W1'
_symmetry_space_group_name_H-M 'P 4/m m m'
_symmetry_Int_Tables_number 123
_symmetry_space_group_name_Hall '-P 4 2'
_cell_length_a 5.2938
_cell_length_b 5.2938
_cell_length_c 4.5676
_cell_angle_alpha 90.00
_cell_angle_beta 90.00
_cell_angle_gamma 90.00
loop_
_atom_site_label
_atom_site_fract_x
_atom_site_fract_y
_atom_site_fract_z
Na1 0.0000 0.5000 0.0000
Sr1 0.0000 0.0000 0.0000
Co1 0.0000 0.0000 0.5000
W1 0.5000 0.5000 0.5000
```

No. 4
BaCaMgTe2 at its PBEsol-relaxed geometry. Source: the Alexandria database, functional SCAN.

Summary:
E = -25.98 eV per atom
V = 208.77 Å³ per cell

CIF file:
```
data_BaCaMgTe2
_chemical_formula_sum 'Ba1 Ca1 Mg1 Te2'
_symmetry_space_group_name_H-M 'P 4/m m m'
_symmetry_Int_Tables_number 123
_symmetry_space_group_name_Hall '-P 4 2'
_cell_length_a 5.7542
_cell_length_b 5.7542
_cell_length_c 6.3051
_cell_angle_alpha 90.00
_cell_angle_beta 90.00
_cell_angle_gamma 90.00
loop_
_atom_site_label
_atom_site_fract_x
_atom_site_fract_y
_atom_site_fract_z
Ba1 0.0000 0.0000 0.0000
Ca1 0.0000 0.0000 0.5000
Mg1 0.5000 0.5000 0.0000
Te1 0.0000 0.5000 0.5000
```

No. 5
LiYGa3 at its PBEsol-relaxed geometry. Source: the Alexandria database, functional SCAN.

Summary:
E = -16.11 eV per atom
Excess energy over the best structure of this formula in the dataset = 0.0 meV/atom
V = 91.70 Å³ per cell

CIF file:
```
data_LiYGa3
_chemical_formula_sum 'Li1 Y1 Ga3'
_symmetry_space_group_name_H-M 'P m -3 m'
_symmetry_Int_Tables_number 221
_symmetry_space_group_name_Hall '-P 4 2 3'
_cell_length_a 4.5094
_cell_length_b 4.5094
_cell_length_c 4.5094
_cell_angle_alpha 90.00
_cell_angle_beta 90.00
_cell_angle_gamma 90.00
loop_
_atom_site_label
_atom_site_fract_x
_atom_site_fract_y
_atom_site_fract_z
Li1 0.0000 0.0000 0.0000
Y1 0.5000 0.5000 0.5000
Ga1 0.0000 0.0000 0.5000
```

No. 6
ZrRe2Sb at its PBEsol-relaxed geometry. Source: the Alexandria database, functional SCAN.

Summary:
E = -52.46 eV per atom
V = 136.67 Å³ per cell

CIF file:
```
data_ZrRe2Sb
_chemical_formula_sum 'Zr2 Re4 Sb2'
_symmetry_space_group_name_H-M 'I m m 2'
_symmetry_Int_Tables_number 44
_symmetry_space_group_name_Hall 'I 2 -2'
_cell_length_a 3.3235
_cell_length_b 4.4207
_cell_length_c 9.3020
_cell_angle_alpha 90.00
_cell_angle_beta 90.00
_cell_angle_gamma 90.00
loop_
_atom_site_label
_atom_site_fract_x
_atom_site_fract_y
_atom_site_fract_z
Zr1 0.0000 0.0000 0.0000
Re1 0.0000 0.0000 0.4951
Re2 0.0000 0.5000 0.7549
Sb1 0.0000 0.5000 0.2378
```

No. 7
TcRh2 at its PBEsol-relaxed geometry. Source: the Alexandria database, functional SCAN.

Summary:
E = -34.36 eV per atom
Excess energy over the best structure of this formula in the dataset = 28.8 meV/atom
V = 162.08 Å³ per cell

CIF file:
```
data_TcRh2
_chemical_formula_sum 'Tc4 Rh8'
_symmetry_space_group_name_H-M 'P n m a'
_symmetry_Int_Tables_number 62
_symmetry_space_group_name_Hall '-P 2ac 2n'
_cell_length_a 4.6583
_cell_length_b 4.2906
_cell_length_c 8.1093
_cell_angle_alpha 90.00
_cell_angle_beta 90.00
_cell_angle_gamma 90.00
loop_
_atom_site_label
_atom_site_fract_x
_atom_site_fract_y
_atom_site_fract_z
Tc1 0.1721 0.2500 0.1672
Rh1 0.1637 0.2500 0.8343
Rh2 0.1700 0.2500 0.4987
```

No. 8
Co2PtPb at its PBEsol-relaxed geometry. Source: the Alexandria database, functional SCAN.

Summary:
E = -44.84 eV per atom
V = 59.74 Å³ per cell

CIF file:
```
data_Co2PtPb
_chemical_formula_sum 'Co2 Pt1 Pb1'
_symmetry_space_group_name_H-M 'P 1 m 1'
_symmetry_Int_Tables_number 6
_symmetry_space_group_name_Hall 'P -2y'
_cell_length_a 3.0277
_cell_length_b 4.0415
_cell_length_c 5.0999
_cell_angle_alpha 90.00
_cell_angle_beta 106.82
_cell_angle_gamma 90.00
loop_
_atom_site_label
_atom_site_fract_x
_atom_site_fract_y
_atom_site_fract_z
Co1 0.0000 0.0000 0.0000
Co2 0.1253 0.5000 0.2577
Pt1 0.4156 0.5000 0.8290
Pb1 0.7296 0.0000 0.4715
```